Entry 1:
The following is a GGA-PBE calculation of an optimized crystal structure of SbPPt, from Alexandria via LeMat-Bulk.

abc: 6.2829 6.2829 6.2829
angles: 90.00 90.00 90.00
Last column: nearest neighbours and their distance in Å.
Sites, in units of the cell vectors:
Sb: 0.0000 0.0000 0.0000  4 Pt 2.72
Sb: 0.0000 0.5000 0.5000  4 Pt 2.72
Sb: 0.5000 0.0000 0.5000  4 Pt 2.72
Sb: 0.5000 0.5000 0.0000  4 Pt 2.72
P: 0.0000 0.0000 0.5000  4 Pt 2.72
P: 0.0000 0.5000 0.0000  4 Pt 2.72
P: 0.5000 0.0000 0.0000  4 Pt 2.72
P: 0.5000 0.5000 0.5000  4 Pt 2.72
Pt: 0.2500 0.2500 0.2500  4 P 2.72, 4 Sb 2.72
Pt: 0.2500 0.7500 0.7500  4 Sb 2.72, 4 P 2.72
Pt: 0.7500 0.2500 0.7500  4 Sb 2.72, 4 P 2.72
Pt: 0.7500 0.7500 0.2500  4 Sb 2.72, 4 P 2.72

- Polymorph energy (0 for the lowest one): 383 meV/atom
- Uncorrected formation energy: -0.136 eV per atom

***

Entry 2:
The following is a GGA-PBE calculation of an optimized crystal structure of Sb2PPt, from Alexandria via LeMat-Bulk.

abc: 3.4102 3.4102 6.9915
angles: 90.00 90.00 90.00
Last column: nearest neighbours and their distance in Å.
Sites, in units of the cell vectors:
Sb: 0.0000 0.0000 0.2432  4 Pt 2.95, 4 P 3.01
Sb: 0.0000 0.0000 0.7568  4 Pt 2.95, 4 P 3.01
P: 0.5000 0.5000 0.5000  8 Sb 3.01
Pt: 0.5000 0.5000 0.0000  8 Sb 2.95

- Uncorrected formation energy: 0.193 eV per atom

***

Entry 3:
The following is a GGA-PBE calculation of an optimized crystal structure of SbPPt3, from Alexandria via LeMat-Bulk.

abc: 4.5892 4.5892 4.5892
angles: 90.00 90.00 90.00
Last column: nearest neighbours and their distance in Å.
Sites, in units of the cell vectors:
Sb: 0.0000 0.0000 0.0000  12 Pt 3.25
P: 0.5000 0.5000 0.5000  6 Pt 2.29
Pt: 0.0000 0.5000 0.5000  2 P 2.29
Pt: 0.5000 0.0000 0.5000  2 P 2.29
Pt: 0.5000 0.5000 0.0000  2 P 2.29

- Polymorph energy (0 for the lowest one): 0 meV/atom
- Uncorrected formation energy: 0.055 eV per atom

***

Entry 4:
The following is a GGA-PBE calculation of an optimized crystal structure of SbPPt2, from Alexandria via LeMat-Bulk.

abc: 3.6489 3.6489 20.3176
angles: 90.00 90.00 120.00
Last column: nearest neighbours and their distance in Å.
Sites, in units of the cell vectors:
Sb: 0.0000 0.0000 0.0000  3 Pt 2.62
Sb: 0.3333 0.6667 0.6667  3 Pt 2.62
Sb: 0.6667 0.3333 0.3333  3 Pt 2.62
P: 0.0000 0.0000 0.7826  3 Pt 2.33
P: 0.3333 0.6667 0.4492  3 Pt 2.33
P: 0.6667 0.3333 0.1159  3 Pt 2.33
Pt: 0.0000 0.0000 0.2563  3 Sb 2.62, 3 Pt 2.81
Pt: 0.0000 0.0000 0.4978  3 P 2.33
Pt: 0.3333 0.6667 0.1645  3 P 2.33
Pt: 0.3333 0.6667 0.9229  3 Sb 2.62, 3 Pt 2.81
Pt: 0.6667 0.3333 0.5896  3 Sb 2.62, 3 Pt 2.81
Pt: 0.6667 0.3333 0.8311  3 P 2.33

- Polymorph energy (0 for the lowest one): 107 meV/atom
- Uncorrected formation energy: -0.291 eV per atom